MgCu2Re | PBE | optimized geometry

Output
V: 13.978 Å³/atom
E_form: 0.20 eV per atom

a b c (Å): 4.773 4.773 2.607
angles (deg): 90.00 90.00 109.74
Positions (direct):
Mg: 0.000 0.000 0.000
Cu: 0.000 0.500 0.500
Cu: 0.500 0.000 0.500
Re: 0.500 0.500 0.000